A plane-wave DFT calculation with GGA-PBE was carried out for an optimized crystal structure of Sm2Tm2In5.

Results
density of states at the Fermi level: 0.787 states/eV/atom
calculated total energy: -3.8215 eV per atom

Lattice parameters (Å, degrees): 7.122 10.006 9.432 122.04 112.18 90.00
Positions (direct):
1 In 0.266 0.731 0.909
2 Sm 0.655 0.191 0.254
3 In 0.734 0.822 0.091
4 In 0.362 0.991 0.302
5 Tm 0.000 0.000 0.000
6 In 0.144 0.231 0.909
7 In 0.941 0.598 0.500
8 Tm 0.500 0.500 0.000
9 Tm 0.257 0.378 0.500
10 In 0.559 0.189 0.698
11 Sm 0.345 0.937 0.746
12 Sm 0.099 0.691 0.254
13 In 0.441 0.491 0.302
14 Tm 0.743 0.878 0.500
15 Sm 0.901 0.437 0.746
16 In 0.856 0.322 0.091
17 In 0.059 0.098 0.500
18 In 0.638 0.689 0.698

---

A plane-wave DFT calculation with GGA-PBE was carried out for an optimized crystal structure of Zr.

Results
density of states at the Fermi level: 1.062 states/eV/atom
distance to the lowest polymorph of the same formula: 0.017 eV/f.u.

Lattice parameters (Å, degrees): 5.861 5.861 5.861 124.50 116.02 89.70
Positions (direct):
1 Zr 0.250 0.500 0.750
2 Zr 0.177 0.098 0.921
3 Zr 0.750 0.500 0.250
4 Zr 0.677 0.255 0.579
5 Zr 0.323 0.745 0.421
6 Zr 0.823 0.902 0.079

---

A plane-wave DFT calculation with GGA-PBE was carried out for an optimized crystal structure of Th2MgHg4.

Results
density of states at the Fermi level: 0.957 states/eV/atom
distance to the lowest polymorph of the same formula: 1.778 eV/f.u.

Lattice parameters (Å, degrees): 5.017 5.017 8.757 106.65 106.65 90.00
Positions (direct):
1 Hg 0.000 0.500 0.000
2 Hg 0.176 0.176 0.352
3 Th 0.632 0.632 0.264
4 Mg 0.000 0.000 0.000
5 Th 0.368 0.368 0.736
6 Hg 0.824 0.824 0.648
7 Hg 0.500 0.000 0.000